Material: GdMgAsAu
Method: DFT, GGA-PBE
State: relaxed

The structure in POSCAR format:
```
GdMgAsAu
1.0
7.030 0.000 0.000
0.000 7.030 0.000
0.000 0.000 7.030
Gd Mg As Au
4 4 4 4
Direct
0.000 0.000 0.000
0.000 0.500 0.500
0.500 0.000 0.500
0.500 0.500 0.000
0.000 0.000 0.500
0.000 0.500 0.000
0.500 0.000 0.000
0.500 0.500 0.500
0.250 0.250 0.250
0.250 0.750 0.750
0.750 0.250 0.750
0.750 0.750 0.250
0.250 0.250 0.750
0.250 0.750 0.250
0.750 0.250 0.250
0.750 0.750 0.750
```

Properties
- M_tot: 27.5 μB/cell
- E_form: -0.72 eV per atom
- Space group: F-43m (216)

=====

Material: GdAsPdAu
Method: DFT, GGA-PBE
State: relaxed

The structure in POSCAR format:
```
GdAsPdAu
1.0
6.819 0.000 0.000
0.000 6.819 0.000
0.000 0.000 6.819
Gd As Pd Au
4 4 4 4
Direct
0.000 0.000 0.000
0.000 0.500 0.500
0.500 0.000 0.500
0.500 0.500 0.000
0.250 0.250 0.750
0.250 0.750 0.250
0.750 0.250 0.250
0.750 0.750 0.750
0.000 0.000 0.500
0.000 0.500 0.000
0.500 0.000 0.000
0.500 0.500 0.500
0.250 0.250 0.250
0.250 0.750 0.750
0.750 0.250 0.750
0.750 0.750 0.250
```

Properties
- M_tot: 27.4 μB/cell
- E_form: -0.68 eV per atom
- Space group: F-43m (216)

=====

Material: PmGdAsAu
Method: DFT, GGA-PBE
State: relaxed

The structure in POSCAR format:
```
PmGdAsAu
1.0
7.292 0.000 0.000
0.000 7.292 0.000
0.000 0.000 7.292
Pm Gd As Au
4 4 4 4
Direct
0.000 0.000 0.000
0.000 0.500 0.500
0.500 0.000 0.500
0.500 0.500 0.000
0.000 0.000 0.500
0.000 0.500 0.000
0.500 0.000 0.000
0.500 0.500 0.500
0.250 0.250 0.250
0.250 0.750 0.750
0.750 0.250 0.750
0.750 0.750 0.250
0.250 0.250 0.750
0.250 0.750 0.250
0.750 0.250 0.250
0.750 0.750 0.750
```

Properties
- M_tot: 32.3 μB/cell
- E_form: -0.91 eV per atom
- Space group: F-43m (216)

=====

Material: Ge4As7Au
Method: DFT, GGA-PBE
State: relaxed

The structure in POSCAR format:
```
Ge4As7Au
1.0
12.875 0.000 0.000
0.000 7.150 0.000
0.000 0.000 6.575
Ge As Au
8 14 2
Direct
0.138 0.166 0.000
0.236 0.354 0.506
0.264 0.646 0.006
0.362 0.834 0.500
0.638 0.834 0.500
0.736 0.646 0.006
0.764 0.354 0.506
0.862 0.166 0.000
0.000 0.301 0.788
0.100 0.125 0.376
0.150 0.864 0.805
0.200 0.678 0.372
0.300 0.322 0.872
0.350 0.136 0.305
0.400 0.875 0.876
0.500 0.699 0.288
0.600 0.875 0.876
0.650 0.136 0.305
0.700 0.322 0.872
0.800 0.678 0.372
0.850 0.864 0.805
0.900 0.125 0.376
0.000 0.643 0.845
0.500 0.357 0.345
```

Properties
- M_tot: 0.0 μB/cell
- E_form: 0.15 eV per atom
- Space group: Pmn2_1 (31)